Computed, not measured: a relaxed LaZn2Ga2 crystal at the PBE level of DFT.

```
LaZn2Ga2
1.0
-0.943 -3.887 -7.000
8.006 -0.356 -0.881
0.044 -2.692 1.489
Zn La Ga
4 2 4
direct
0.119 0.381 0.000
0.881 0.619 0.000
0.381 0.881 0.000
0.619 0.119 0.000
0.500 0.500 0.000
0.000 0.000 0.000
0.827 0.327 0.500
0.327 0.173 0.500
0.673 0.827 0.500
0.173 0.673 0.500
```

Computed properties:
The calculation puts the density of states at the Fermi level at 5.72 states/eV/cell. As for the size of the total moment: 0.00 μB/f.u. Its volume is 200 Å³ per cell. The value obtained for the raw total energy is -2.908 eV/atom. The calculation puts the formation energy from the elements at -0.202 eV/atom.